1.
VASP calculation (meta-GGA SCAN) on a crystal of Ga relaxed with PBEsol.

Cell lengths 7.6592, 7.6592, 7.6592 Å; angles 71.72, 71.72, 71.72 degrees
Last column: nearest neighbours and their distance in Å.
Atoms (fractional coordinates):
Ga  0.0000  0.0000  0.0000  6 Ga 2.70
Ga  0.0000  0.5000  0.5000  10 Ga 2.72-2.86
Ga  0.0206  0.7185  0.7185  6 Ga 2.56-2.79
Ga  0.0962  0.0962  0.6175  8 Ga 2.70-2.94
Ga  0.0962  0.6175  0.0962  8 Ga 2.70-2.94
Ga  0.2815  0.2815  0.9794  6 Ga 2.56-2.79
Ga  0.2815  0.9794  0.2815  6 Ga 2.56-2.79
Ga  0.3217  0.3217  0.6259  6 Ga 2.56-2.82
Ga  0.3217  0.6259  0.3217  6 Ga 2.56-2.82
Ga  0.3741  0.6783  0.6783  6 Ga 2.56-2.82
Ga  0.3825  0.9038  0.9038  8 Ga 2.70-2.94
Ga  0.5000  0.0000  0.5000  10 Ga 2.72-2.86
Ga  0.5000  0.5000  0.0000  10 Ga 2.72-2.86
Ga  0.6175  0.0962  0.0962  8 Ga 2.70-2.94
Ga  0.6259  0.3217  0.3217  6 Ga 2.56-2.82
Ga  0.6783  0.3741  0.6783  6 Ga 2.56-2.82
Ga  0.6783  0.6783  0.3741  6 Ga 2.56-2.82
Ga  0.7185  0.0206  0.7185  6 Ga 2.56-2.79
Ga  0.7185  0.7185  0.0206  6 Ga 2.56-2.79
Ga  0.9038  0.3825  0.9038  8 Ga 2.70-2.94
Ga  0.9038  0.9038  0.3825  8 Ga 2.70-2.94
Ga  0.9794  0.2815  0.2815  6 Ga 2.56-2.79

Calculated values
**Space group**: No. 166
**D(E_F)**: 0.3380 states/eV/atom
**Formation enthalpy at 0 K**: 0.07 eV per atom
**Mass density**: 6475 kg/m3



2.
VASP calculation (meta-GGA SCAN) on a crystal of Ga relaxed with PBEsol.

Cell lengths 2.9561, 2.9561, 4.6901 Å; angles 90.00, 90.00, 120.00 degrees
Last column: nearest neighbours and their distance in Å.
Atoms (fractional coordinates):
Ga  0.3333  0.6667  0.2500  12 Ga 2.90-2.96
Ga  0.6667  0.3333  0.7500  12 Ga 2.90-2.96

Calculated values
**Space group**: No. 194
**D(E_F)**: 0.4384 states/eV/atom
**Formation enthalpy at 0 K**: 0.15 eV per atom
**Mass density**: 6524 kg/m3



3.
VASP calculation (meta-GGA SCAN) on a crystal of Gd3Ga relaxed with PBEsol.

Cell lengths 4.6640, 4.6640, 4.6640 Å; angles 90.00, 90.00, 90.00 degrees
Last column: nearest neighbours and their distance in Å.
Atoms (fractional coordinates):
Gd  0.0000  0.0000  0.5000  4 Ga 3.30, 8 Gd 3.30
Gd  0.0000  0.5000  0.0000  4 Ga 3.30, 8 Gd 3.30
Gd  0.5000  0.0000  0.0000  4 Ga 3.30, 8 Gd 3.30
Ga  0.5000  0.5000  0.5000  12 Gd 3.30

Calculated values
**Space group**: No. 221
**D(E_F)**: 0.5409 states/eV/atom
**Formation enthalpy at 0 K**: -0.35 eV per atom
**Mass density**: 8862 kg/m3



- The lowest mass density belongs to which entry?
  number 1



- What is the mass density in the first record?
  6475 kg/m3